[1]
Ba4PrYCu6O14: single point on PBEsol structure, meta-GGA SCAN.

a b c (Å): 12.182 12.182 3.885
angles (deg): 90.00 90.00 143.40
Element x y z (fractional)
Ba  0.159  0.841  0.000
Ba  0.340  0.660  0.000
Ba  0.660  0.340  0.000
Ba  0.841  0.159  0.000
Pr  0.500  0.500  0.000
Y  0.000  0.000  0.000
Cu  0.000  0.500  0.500
Cu  0.171  0.323  0.500
Cu  0.323  0.171  0.500
Cu  0.500  0.000  0.500
Cu  0.677  0.829  0.500
Cu  0.829  0.677  0.500
O  0.000  0.500  0.000
O  0.060  0.940  0.500
O  0.079  0.419  0.500
O  0.178  0.305  0.000
O  0.305  0.178  0.000
O  0.419  0.079  0.500
O  0.434  0.566  0.500
O  0.500  0.000  0.000
O  0.566  0.434  0.500
O  0.581  0.921  0.500
O  0.695  0.822  0.000
O  0.822  0.695  0.000
O  0.921  0.581  0.500
O  0.940  0.060  0.500

Formation energy from raw total energies = -5120.9 kJ/mol of formula units
Total DFT energy (no corrections) = -17.73 eV per atom


[2]
Ba4PrYCu6O14: single point on PBEsol structure, meta-GGA SCAN.

a b c (Å): 3.856 3.856 23.135
angles (deg): 90.00 90.00 90.00
Element x y z (fractional)
Ba  0.000  0.000  0.158
Ba  0.000  0.000  0.338
Ba  0.000  0.000  0.662
Ba  0.000  0.000  0.842
Pr  0.000  0.000  0.500
Y  0.000  0.000  0.000
Cu  0.500  0.500  0.073
Cu  0.500  0.500  0.248
Cu  0.500  0.500  0.421
Cu  0.500  0.500  0.579
Cu  0.500  0.500  0.752
Cu  0.500  0.500  0.927
O  0.000  0.500  0.060
O  0.000  0.500  0.247
O  0.000  0.500  0.435
O  0.000  0.500  0.567
O  0.000  0.500  0.938
O  0.500  0.000  0.062
O  0.500  0.000  0.433
O  0.500  0.000  0.565
O  0.500  0.000  0.753
O  0.500  0.000  0.940
O  0.500  0.500  0.167
O  0.500  0.500  0.328
O  0.500  0.500  0.672
O  0.500  0.500  0.833

Formation energy from raw total energies = -5119.6 kJ/mol of formula units
Total DFT energy (no corrections) = -17.73 eV per atom


[3]
Ba3Y2Cu2PtO10: single point on PBEsol structure, meta-GGA SCAN.

a b c (Å): 6.857 6.857 7.372
angles (deg): 104.25 104.25 49.87
Element x y z (fractional)
Ba  0.000  0.000  0.000
Ba  0.153  0.153  0.540
Ba  0.847  0.847  0.460
Y  0.311  0.311  0.126
Y  0.689  0.689  0.874
Cu  0.411  0.411  0.800
Cu  0.589  0.589  0.200
Pt  0.500  0.500  0.500
O  0.087  0.545  0.872
O  0.262  0.703  0.281
O  0.297  0.738  0.719
O  0.333  0.333  0.451
O  0.455  0.913  0.128
O  0.545  0.087  0.872
O  0.667  0.667  0.549
O  0.703  0.262  0.281
O  0.738  0.297  0.719
O  0.913  0.455  0.128

Formation energy from raw total energies = -4236.2 kJ/mol of formula units
Total DFT energy (no corrections) = -21.17 eV per atom


[4]
Ba3CuSb2O9: single point on PBEsol structure, meta-GGA SCAN.

a b c (Å): 5.801 5.801 14.373
angles (deg): 90.00 90.00 120.00
Element x y z (fractional)
Ba  0.000  0.000  0.000
Ba  0.000  0.000  0.500
Ba  0.333  0.667  0.137
Ba  0.333  0.667  0.832
Ba  0.667  0.333  0.332
Ba  0.667  0.333  0.637
Cu  0.333  0.667  0.595
Cu  0.667  0.333  0.095
Sb  0.000  0.000  0.242
Sb  0.000  0.000  0.742
Sb  0.333  0.667  0.408
Sb  0.667  0.333  0.908
O  0.018  0.509  0.490
O  0.163  0.325  0.666
O  0.163  0.837  0.666
O  0.165  0.331  0.328
O  0.165  0.835  0.328
O  0.325  0.163  0.166
O  0.331  0.165  0.828
O  0.491  0.509  0.490
O  0.491  0.982  0.490
O  0.509  0.018  0.990
O  0.509  0.491  0.990
O  0.669  0.835  0.328
O  0.675  0.837  0.666
O  0.835  0.165  0.828
O  0.835  0.669  0.828
O  0.837  0.163  0.166
O  0.837  0.675  0.166
O  0.982  0.491  0.990

Formation energy from raw total energies = -3121.1 kJ/mol of formula units
Total DFT energy (no corrections) = -19.79 eV per atom


[5]
Ba3Sc4Cu3O12: single point on PBEsol structure, meta-GGA SCAN.

a b c (Å): 9.374 9.374 9.374
angles (deg): 101.43 101.43 127.14
Element x y z (fractional)
Ba  0.000  0.000  0.000
Ba  0.224  0.724  0.948
Ba  0.276  0.224  0.500
Ba  0.500  0.500  0.000
Ba  0.724  0.776  0.500
Ba  0.776  0.276  0.052
Sc  0.008  0.250  0.758
Sc  0.250  0.008  0.758
Sc  0.250  0.492  0.242
Sc  0.492  0.250  0.242
Sc  0.508  0.750  0.758
Sc  0.750  0.508  0.758
Sc  0.750  0.992  0.242
Sc  0.992  0.750  0.242
Cu  0.103  0.397  0.500
Cu  0.250  0.750  0.500
Cu  0.397  0.897  0.294
Cu  0.603  0.103  0.706
Cu  0.750  0.250  0.500
Cu  0.897  0.603  0.500
O  0.001  0.263  0.265
O  0.115  0.847  0.500
O  0.122  0.122  0.744
O  0.122  0.378  0.000
O  0.153  0.653  0.268
O  0.237  0.499  0.735
O  0.263  0.999  0.262
O  0.347  0.615  0.500
O  0.378  0.122  0.000
O  0.378  0.378  0.256
O  0.385  0.885  0.732
O  0.499  0.763  0.262
O  0.501  0.237  0.738
O  0.615  0.115  0.268
O  0.622  0.622  0.744
O  0.622  0.878  0.000
O  0.653  0.385  0.500
O  0.737  0.001  0.738
O  0.763  0.501  0.265
O  0.847  0.347  0.732
O  0.878  0.622  0.000
O  0.878  0.878  0.256
O  0.885  0.153  0.500
O  0.999  0.737  0.735

Formation energy from raw total energies = -5979.1 kJ/mol of formula units
Total DFT energy (no corrections) = -16.27 eV per atom


[6]
BaCuSe2O6: single point on PBEsol structure, meta-GGA SCAN.

a b c (Å): 13.295 5.262 8.901
angles (deg): 90.00 90.00 90.00
Element x y z (fractional)
Ba  0.202  0.002  0.000
Ba  0.298  0.998  0.500
Ba  0.702  0.998  0.500
Ba  0.798  0.002  0.000
Cu  0.132  0.547  0.291
Cu  0.368  0.453  0.791
Cu  0.632  0.453  0.791
Cu  0.868  0.547  0.291
Se  0.000  0.083  0.406
Se  0.000  0.473  0.974
Se  0.139  0.494  0.665
Se  0.361  0.506  0.165
Se  0.500  0.527  0.474
Se  0.500  0.917  0.906
Se  0.639  0.506  0.165
Se  0.861  0.494  0.665
O  0.000  0.151  0.972
O  0.000  0.412  0.346
O  0.104  0.975  0.315
O  0.106  0.550  0.078
O  0.169  0.795  0.712
O  0.187  0.466  0.485
O  0.232  0.312  0.751
O  0.268  0.688  0.251
O  0.313  0.534  0.985
O  0.331  0.205  0.212
O  0.394  0.450  0.578
O  0.396  0.025  0.815
O  0.500  0.588  0.846
O  0.500  0.849  0.472
O  0.604  0.025  0.815
O  0.606  0.450  0.578
O  0.669  0.205  0.212
O  0.687  0.534  0.985
O  0.732  0.688  0.251
O  0.768  0.312  0.751
O  0.813  0.466  0.485
O  0.831  0.795  0.712
O  0.894  0.550  0.078
O  0.896  0.975  0.315

Formation energy from raw total energies = -1429.4 kJ/mol of formula units
Energy above the most stable polymorph in this dataset = 0.003 eV per atom
Total DFT energy (no corrections) = -14.71 eV per atom


[7]
BaCuSe2O6: single point on PBEsol structure, meta-GGA SCAN.

a b c (Å): 5.278 13.169 8.845
angles (deg): 90.00 90.15 90.00
Element x y z (fractional)
Ba  0.231  0.202  0.312
Ba  0.231  0.298  0.812
Ba  0.769  0.702  0.188
Ba  0.769  0.798  0.688
Cu  0.224  0.634  0.900
Cu  0.224  0.866  0.400
Cu  0.776  0.134  0.600
Cu  0.776  0.366  0.100
Se  0.264  0.634  0.535
Se  0.264  0.866  0.035
Se  0.313  0.009  0.712
Se  0.313  0.491  0.212
Se  0.687  0.509  0.788
Se  0.687  0.991  0.288
Se  0.736  0.134  0.965
Se  0.736  0.366  0.465
O  0.082  0.727  0.447
O  0.082  0.773  0.947
O  0.206  0.595  0.110
O  0.206  0.905  0.610
O  0.217  0.117  0.625
O  0.217  0.383  0.125
O  0.284  0.696  0.708
O  0.284  0.804  0.208
O  0.364  0.505  0.828
O  0.364  0.995  0.328
O  0.439  0.155  0.030
O  0.439  0.345  0.530
O  0.561  0.655  0.470
O  0.561  0.845  0.970
O  0.636  0.005  0.672
O  0.636  0.495  0.172
O  0.716  0.196  0.792
O  0.716  0.304  0.292
O  0.783  0.617  0.875
O  0.783  0.883  0.375
O  0.794  0.095  0.390
O  0.794  0.405  0.890
O  0.918  0.227  0.053
O  0.918  0.273  0.553

Formation energy from raw total energies = -1432.4 kJ/mol of formula units
Energy above the most stable polymorph in this dataset = 0.000 eV per atom
Total DFT energy (no corrections) = -14.71 eV per atom


[8]
BaCuSe2O6: single point on PBEsol structure, meta-GGA SCAN.

a b c (Å): 4.788 4.788 15.768
angles (deg): 90.29 90.29 65.24
Element x y z (fractional)
Ba  0.033  0.967  0.750
Ba  0.967  0.033  0.250
Cu  0.000  0.000  0.000
Cu  0.000  0.000  0.500
Se  0.358  0.363  0.589
Se  0.363  0.358  0.089
Se  0.637  0.642  0.911
Se  0.642  0.637  0.411
O  0.164  0.754  0.098
O  0.246  0.836  0.402
O  0.261  0.677  0.923
O  0.267  0.365  0.692
O  0.323  0.739  0.577
O  0.365  0.267  0.192
O  0.635  0.733  0.808
O  0.677  0.261  0.423
O  0.733  0.635  0.308
O  0.739  0.323  0.077
O  0.754  0.164  0.598
O  0.836  0.246  0.902

Formation energy from raw total energies = -1432.7 kJ/mol of formula units
Energy above the most stable polymorph in this dataset = 0.000 eV per atom
Total DFT energy (no corrections) = -14.71 eV per atom


[9]
BaCuSi2O6: single point on PBEsol structure, meta-GGA SCAN.

a b c (Å): 13.306 13.306 13.306
angles (deg): 136.07 136.07 63.88
Element x y z (fractional)
Ba  0.015  0.500  0.016
Ba  0.250  0.235  0.484
Ba  0.250  0.735  0.985
Ba  0.485  0.000  0.984
Ba  0.515  0.500  0.515
Ba  0.750  0.265  0.015
Ba  0.750  0.765  0.516
Ba  0.985  0.000  0.485
Cu  0.066  0.566  0.500
Cu  0.183  0.683  0.500
Cu  0.316  0.316  0.000
Cu  0.433  0.433  0.000
Cu  0.566  0.066  0.500
Cu  0.683  0.183  0.500
Cu  0.816  0.816  0.000
Cu  0.933  0.933  0.000
Si  0.100  0.374  0.723
Si  0.124  0.900  0.773
Si  0.127  0.350  0.227
Si  0.150  0.874  0.273
Si  0.349  0.122  0.223
Si  0.372  0.099  0.723
Si  0.376  0.649  0.277
Si  0.399  0.622  0.773
Si  0.600  0.877  0.727
Si  0.624  0.850  0.223
Si  0.627  0.400  0.777
Si  0.650  0.377  0.277
Si  0.849  0.626  0.227
Si  0.872  0.149  0.273
Si  0.876  0.599  0.727
Si  0.899  0.126  0.777
O  0.006  0.850  0.224
O  0.015  0.273  0.001
O  0.023  0.521  0.757
O  0.032  0.376  0.276
O  0.100  0.756  0.724
O  0.126  0.350  0.844
O  0.126  0.896  0.153
O  0.146  0.876  0.653
O  0.223  0.493  0.347
O  0.231  0.729  0.247
O  0.233  0.232  0.253
O  0.243  0.396  0.770
O  0.256  0.527  0.654
O  0.264  0.021  0.499
O  0.271  0.014  0.999
O  0.277  0.123  0.771
O  0.352  0.506  0.229
O  0.373  0.027  0.271
O  0.373  0.718  0.725
O  0.398  0.623  0.154
O  0.468  0.243  0.846
O  0.479  0.732  0.999
O  0.482  0.983  0.753
O  0.493  0.218  0.346
O  0.506  0.282  0.156
O  0.515  0.514  0.743
O  0.523  0.765  0.501
O  0.532  0.256  0.656
O  0.600  0.876  0.344
O  0.626  0.473  0.230
O  0.626  0.782  0.776
O  0.646  0.993  0.270
O  0.723  0.376  0.730
O  0.731  0.483  0.501
O  0.733  0.481  0.001
O  0.743  0.973  0.847
O  0.756  0.102  0.729
O  0.764  0.265  0.243
O  0.771  0.773  0.257
O  0.777  0.006  0.154
O  0.852  0.623  0.846
O  0.873  0.148  0.654
O  0.873  0.602  0.346
O  0.898  0.743  0.775
O  0.968  0.123  0.225
O  0.979  0.981  0.747
O  0.982  0.229  0.499
O  0.993  0.648  0.275

Formation energy from raw total energies = -2621.8 kJ/mol of formula units
Energy above the most stable polymorph in this dataset = 0.000 eV per atom
Total DFT energy (no corrections) = -13.93 eV per atom


[10]
Ba2CuSi2O7: single point on PBEsol structure, meta-GGA SCAN.

a b c (Å): 6.757 6.757 8.470
angles (deg): 102.37 102.37 100.62
Element x y z (fractional)
Ba  0.187  0.273  0.469
Ba  0.273  0.187  0.969
Ba  0.727  0.813  0.031
Ba  0.813  0.727  0.531
Cu  0.258  0.742  0.250
Cu  0.742  0.258  0.750
Si  0.151  0.617  0.857
Si  0.383  0.849  0.643
Si  0.617  0.151  0.357
Si  0.849  0.383  0.143
O  0.013  0.787  0.867
O  0.020  0.382  0.744
O  0.213  0.987  0.633
O  0.293  0.605  0.036
O  0.328  0.672  0.750
O  0.382  0.020  0.244
O  0.395  0.707  0.464
O  0.605  0.293  0.536
O  0.618  0.980  0.756
O  0.672  0.328  0.250
O  0.707  0.395  0.964
O  0.787  0.013  0.367
O  0.980  0.618  0.256
O  0.987  0.213  0.133

Formation energy from raw total energies = -3256.3 kJ/mol of formula units
Energy above the most stable polymorph in this dataset = 0.007 eV per atom
Total DFT energy (no corrections) = -15.97 eV per atom


[11]
BaCuSi2O6: single point on PBEsol structure, meta-GGA SCAN.

a b c (Å): 7.430 7.430 7.430
angles (deg): 122.79 122.79 85.23
Element x y z (fractional)
Ba  0.250  0.750  0.500
Ba  0.750  0.250  0.500
Cu  0.123  0.123  0.000
Cu  0.877  0.877  0.000
Si  0.272  0.272  0.545
Si  0.272  0.728  0.000
Si  0.728  0.272  0.000
Si  0.728  0.728  0.455
O  0.063  0.063  0.382
O  0.063  0.681  0.000
O  0.233  0.500  0.733
O  0.319  0.319  0.382
O  0.319  0.937  0.000
O  0.500  0.233  0.733
O  0.500  0.767  0.267
O  0.681  0.063  0.000
O  0.681  0.681  0.618
O  0.767  0.500  0.267
O  0.937  0.319  0.000
O  0.937  0.937  0.618

Formation energy from raw total energies = -2617.8 kJ/mol of formula units
Energy above the most stable polymorph in this dataset = 0.004 eV per atom
Total DFT energy (no corrections) = -13.93 eV per atom